(1)
Material: NaNdTi4O12
Method: DFT, PBE
State: relaxed

Summary:
Total moment in μB/cell: 3.98
SG: P4/mmm (123)
E in eV for the cell shown: -141.08
D(E_F) in states/eV/f.u.: 6.671

Cell: 5.447 5.447 7.873 Å, 90.00 90.00 90.00°
Atoms (fractional coordinates):
Na 0.000 0.000 0.000
Nd 0.500 0.500 0.500
Ti 0.000 0.500 0.238
Ti 0.000 0.500 0.762
Ti 0.500 0.000 0.238
Ti 0.500 0.000 0.762
O 0.000 0.500 0.000
O 0.000 0.500 0.500
O 0.257 0.257 0.267
O 0.257 0.257 0.733
O 0.257 0.743 0.267
O 0.257 0.743 0.733
O 0.500 0.000 0.000
O 0.500 0.000 0.500
O 0.743 0.257 0.267
O 0.743 0.257 0.733
O 0.743 0.743 0.267
O 0.743 0.743 0.733

(2)
Material: Na2NdTiO4
Method: DFT, PBE
State: relaxed

Summary:
Total moment in μB/cell: 0.99
SG: P2/m (10)
E in eV for the cell shown: -54.40
D(E_F) in states/eV/f.u.: 2.081

Cell: 5.734 3.341 5.905 Å, 90.00 109.16 90.00°
Atoms (fractional coordinates):
Na 0.000 0.000 0.000
Na 0.500 0.500 0.000
Nd 0.000 0.500 0.500
Ti 0.500 0.000 0.500
O 0.276 0.000 0.714
O 0.289 0.500 0.293
O 0.711 0.500 0.707
O 0.724 0.000 0.286

(3)
Material: NaNdTi2O6
Method: DFT, PBE
State: relaxed

Summary:
Total moment in μB/cell: 0.00
SG: Pmn2_1 (31)
E in eV for the cell shown: -163.11
D(E_F) in states/eV/f.u.: 0.000

Cell: 7.718 5.564 5.448 Å, 90.00 90.00 90.00°
Atoms (fractional coordinates):
Na 0.000 0.227 0.000
Na 0.500 0.773 0.500
Nd 0.000 0.695 0.511
Nd 0.500 0.305 0.011
Ti 0.247 0.236 0.515
Ti 0.253 0.764 0.015
Ti 0.747 0.764 0.015
Ti 0.753 0.236 0.515
O 0.000 0.265 0.428
O 0.000 0.767 0.071
O 0.210 0.956 0.699
O 0.216 0.463 0.772
O 0.284 0.537 0.272
O 0.290 0.044 0.199
O 0.500 0.233 0.571
O 0.500 0.735 0.928
O 0.710 0.044 0.199
O 0.716 0.537 0.272
O 0.784 0.463 0.772
O 0.790 0.956 0.699

(4)
Material: Na3Nd2TlO6
Method: DFT, PBE
State: relaxed

Summary:
Total moment in μB/cell: 0.00
SG: C2/m (12)
E in eV for the cell shown: -70.44
D(E_F) in states/eV/f.u.: 0.000

Cell: 6.099 6.099 6.023 Å, 99.55 99.55 120.06°
Atoms (fractional coordinates):
Na 0.000 0.000 0.000
Na 0.345 0.655 0.000
Na 0.655 0.345 0.000
Nd 0.167 0.833 0.500
Nd 0.833 0.167 0.500
Tl 0.500 0.500 0.500
O 0.097 0.427 0.277
O 0.242 0.242 0.723
O 0.427 0.097 0.277
O 0.573 0.903 0.723
O 0.758 0.758 0.277
O 0.903 0.573 0.723

(5)
Material: Na4Nd3TlO8
Method: DFT, PBE
State: relaxed

Summary:
Total moment in μB/cell: 0.00
SG: R-3m (166)
E in eV for the cell shown: -96.78

Cell: 6.990 6.990 6.990 Å, 60.84 60.84 60.84°
Atoms (fractional coordinates):
Na 0.000 0.000 0.000
Na 0.000 0.500 0.500
Na 0.500 0.000 0.500
Na 0.500 0.500 0.000
Nd 0.000 0.000 0.500
Nd 0.000 0.500 0.000
Nd 0.500 0.000 0.000
Tl 0.500 0.500 0.500
O 0.238 0.238 0.238
O 0.243 0.741 0.741
O 0.259 0.259 0.757
O 0.259 0.757 0.259
O 0.741 0.243 0.741
O 0.741 0.741 0.243
O 0.757 0.259 0.259
O 0.762 0.762 0.762

(6)
Material: NaNd2TlO5
Method: DFT, PBE
State: relaxed

Summary:
Total moment in μB/cell: 0.00
SG: Cmc2_1 (36)
E in eV for the cell shown: -115.99

Cell: 7.058 7.058 11.179 Å, 90.00 90.00 150.34°
Atoms (fractional coordinates):
Na 0.229 0.771 0.500
Na 0.771 0.229 0.000
Nd 0.105 0.895 0.201
Nd 0.157 0.843 0.765
Nd 0.843 0.157 0.265
Nd 0.895 0.105 0.701
Tl 0.465 0.535 0.975
Tl 0.535 0.465 0.475
O 0.066 0.934 0.581
O 0.274 0.726 0.171
O 0.320 0.680 0.853
O 0.386 0.614 0.564
O 0.472 0.528 0.293
O 0.528 0.472 0.793
O 0.614 0.386 0.064
O 0.680 0.320 0.353
O 0.726 0.274 0.671
O 0.934 0.066 0.081